# La3Pm6Ho2In | the Alexandria database | PBE | relaxed
# total moment = 0.00 Bohr magnetons per cell
# formation energy from the elements = -32 meV/atom
data_La3Pm6Ho2In
_chemical_formula_sum 'La6 Pm12 Ho4 In2'
_cell_length_a 6.260
_cell_length_b 10.882
_cell_length_c 11.888
_cell_angle_alpha 90.00
_cell_angle_beta 100.38
_cell_angle_gamma 90.00
_space_group_name_H-M_alt 'C 1 2/m 1'
_space_group_IT_number 12
_space_group_name_Hall '-C 2y'
loop_
_atom_site_label
_atom_site_type_symbol
_atom_site_fract_x
_atom_site_fract_y
_atom_site_fract_z
La1 La 0.000 0.000 0.000
La2 La 0.000 0.329 0.000
Pm1 Pm 0.241 0.337 0.741
Pm2 Pm 0.246 0.500 0.257
Ho1 Ho 0.000 0.166 0.500
In1 In 0.000 0.500 0.500